# AcSm2ReN4

A relaxed AcSm2ReN4 crystal (PBE, Alexandria via LeMat-Bulk).

Output
symmetry: Cmcm
total energy: -66.7 eV/f.u.
D(E_F): 0.3261 states/eV/atom

```
AcSm2ReN4
1.0
1.791 -6.106 0.000
1.791 6.106 0.000
0.000 0.000 12.167
Ac Sm Re N
2 4 2 8
direct
0.082 0.918 0.750
0.918 0.082 0.250
0.369 0.631 0.542
0.369 0.631 0.958
0.631 0.369 0.042
0.631 0.369 0.458
0.174 0.826 0.250
0.826 0.174 0.750
0.000 0.000 0.000
0.000 0.000 0.500
0.262 0.738 0.120
0.262 0.738 0.380
0.412 0.588 0.750
0.588 0.412 0.250
0.738 0.262 0.620
0.738 0.262 0.880
```